## Ac2GaSi (PBE)

Data for crystalline Ac2GaSi at its relaxed geometry.

The structure in POSCAR format:
```
Ac2GaSi
1.0
-0.204 -2.538 -3.364
-2.664 -4.585 3.620
-6.540 5.623 -3.846
Ac Ga Si
4 2 2
direct
0.750 0.218 0.429 Ac
0.250 0.782 0.571 Ac
0.250 0.787 0.071 Ac
0.750 0.213 0.929 Ac
0.750 0.628 0.281 Ga
0.250 0.372 0.719 Ga
0.250 0.364 0.215 Si
0.750 0.636 0.785 Si
```

Formation energy from raw total energies ... -0.5768 eV/atom
Theoretical density ... 7.7 g/cm3
Spin magnetization ... 0.0 μB per cell
Space-group type ... P2_1/m



## AcGaSi2 (PBE)

Data for crystalline AcGaSi2 at its relaxed geometry.

The structure in POSCAR format:
```
AcGaSi2
1.0
5.520 0.000 0.000
2.760 4.781 0.000
2.760 1.594 3.680
Ac Si Ga
1 2 1
direct
0.500 0.500 0.500 Ac
0.219 0.219 0.344 Si
0.781 0.781 0.656 Si
0.000 0.000 0.000 Ga
```

Formation energy from raw total energies ... 0.0398 eV/atom
Theoretical density ... 6.0 g/cm3
Spin magnetization ... 0.0 μB per cell
Space-group type ... R-3m
ΔE to the lowest computed polymorph ... 250 meV per atom



## AcGa6Si2 (PBE)

Data for crystalline AcGa6Si2 at its relaxed geometry.

The structure in POSCAR format:
```
AcGa6Si2
1.0
-4.144 -1.046 1.042
-0.174 -2.738 -3.439
3.146 -7.035 5.443
Ac Ga Si
1 6 2
direct
0.000 0.000 0.000 Ac
0.000 0.500 0.291 Ga
0.500 0.000 0.291 Ga
0.000 0.500 0.709 Ga
0.500 0.000 0.709 Ga
0.500 0.500 0.500 Ga
0.000 0.000 0.500 Ga
0.500 0.500 0.125 Si
0.500 0.500 0.875 Si
```

Formation energy from raw total energies ... -0.1424 eV/atom
Theoretical density ... 6.4 g/cm3
Spin magnetization ... 0.0 μB per cell
Space-group type ... P4/mmm